Record 1
4
Lattice="3.128 0.000 0.000 0.000 4.828 0.000 0.000 0.000 4.828" Properties=species:S:1:pos:R:3 comment="Zr2OsBr | the Alexandria database | PBEsol | relaxed" formation_energy_uncorrected_ev_per_atom=-0.156 relative_energy_kj_per_mol_atoms=36.9 dos_ef_per_ev_cell=4.2 pbc="T T T"
Os 1.564 0.000 0.000
Zr 0.000 0.000 2.414
Zr 0.000 2.414 0.000
Br 1.564 2.414 2.414

---

Record 2
5
Lattice="-3.255 -2.330 -2.287 2.852 -0.457 -3.594 1.911 -4.751 2.120" Properties=species:S:1:pos:R:3 comment="ReTeAs2W | the Alexandria database | PBEsol | relaxed" formation_energy_uncorrected_ev_per_atom=1.502 dos_ef_per_ev_cell=3.3 pbc="T T T"
As 1.426 -0.228 -1.797
As -1.627 -1.165 -1.143
Re 0.000 0.000 0.000
Te 0.956 -2.375 1.060
W 0.754 -3.769 -1.880